# Sm4PtRh, optimized geometry, DFT GGA-PBE
data_Sm4PtRh
_chemical_formula_sum 'Sm8 Pt2 Rh2'
_symmetry_space_group_name_H-M 'P 1'
_symmetry_Int_Tables_number 1
_cell_length_a 7.0225
_cell_length_b 7.0313
_cell_length_c 7.0378
_cell_angle_alpha 90.00
_cell_angle_beta 91.54
_cell_angle_gamma 90.00
loop_
_symmetry_equiv_pos_as_xyz
'x,y,z'
loop_
_atom_site_label
_atom_site_type_symbol
_atom_site_fract_x
_atom_site_fract_y
_atom_site_fract_z
Sm1 Sm 0.6797 0.6723 0.6699
Sm2 Sm 0.8362 0.6702 0.1747
Pt1 Pt 0.5000 0.5000 0.0000
Rh1 Rh 0.0000 0.5000 0.5000
Sm3 Sm 0.6638 0.1702 0.8253
Sm4 Sm 0.1797 0.8277 0.6699
Rh2 Rh 0.5000 0.0000 0.5000
Pt2 Pt 0.0000 0.0000 0.0000
Sm5 Sm 0.3362 0.8298 0.1747
Sm6 Sm 0.1638 0.3298 0.8253
Sm7 Sm 0.3203 0.3277 0.3301
Sm8 Sm 0.8203 0.1723 0.3301
# Energy above the most stable polymorph in this dataset = 0.5 kJ/mol of atoms
# Magnetic moment = 0.0 Bohr magnetons per cell
# E_form = -0.65 eV/atom

***

# Sm7Pt2Rh2, optimized geometry, DFT GGA-PBE
data_Sm7Pt2Rh2
_chemical_formula_sum 'Sm7 Pt2 Rh2'
_symmetry_space_group_name_H-M 'P 1'
_symmetry_Int_Tables_number 1
_cell_length_a 6.7742
_cell_length_b 6.9952
_cell_length_c 6.7742
_cell_angle_alpha 90.00
_cell_angle_beta 104.33
_cell_angle_gamma 90.00
loop_
_symmetry_equiv_pos_as_xyz
'x,y,z'
loop_
_atom_site_label
_atom_site_type_symbol
_atom_site_fract_x
_atom_site_fract_y
_atom_site_fract_z
Sm1 Sm 0.5000 0.2542 0.5000
Sm2 Sm 0.0000 0.7374 0.5000
Pt1 Pt 0.7811 0.5000 0.7811
Pt2 Pt 0.2189 0.5000 0.2189
Rh1 Rh 0.2807 0.0000 0.7193
Sm3 Sm 0.5000 0.7374 0.0000
Rh2 Rh 0.7193 0.0000 0.2807
Sm4 Sm 0.0000 0.2626 0.5000
Sm5 Sm 0.5000 0.7458 0.5000
Sm6 Sm 0.5000 0.2626 0.0000
Sm7 Sm 0.0000 0.0000 0.0000
# Energy above the most stable polymorph in this dataset = 17.1 kJ/mol of atoms
# Magnetic moment = 0.0 Bohr magnetons per cell
# E_form = -0.56 eV/atom

***

# SmPtRh3, optimized geometry, DFT GGA-PBE
data_SmPtRh3
_chemical_formula_sum 'Sm2 Pt2 Rh6'
_symmetry_space_group_name_H-M 'P 1'
_symmetry_Int_Tables_number 1
_cell_length_a 4.6822
_cell_length_b 9.0905
_cell_length_c 9.0905
_cell_angle_alpha 148.43
_cell_angle_beta 90.00
_cell_angle_gamma 90.00
loop_
_symmetry_equiv_pos_as_xyz
'x,y,z'
loop_
_atom_site_label
_atom_site_type_symbol
_atom_site_fract_x
_atom_site_fract_y
_atom_site_fract_z
Rh1 Rh 0.7500 0.9815 0.5377
Sm1 Sm 0.7500 0.5841 0.4159
Rh2 Rh 0.2500 0.0185 0.4623
Pt1 Pt 0.2500 0.1404 0.8596
Rh3 Rh 0.0000 0.0000 0.0000
Sm2 Sm 0.2500 0.4159 0.5841
Rh4 Rh 0.5000 0.0000 0.0000
Pt2 Pt 0.7500 0.8596 0.1404
Rh5 Rh 0.2500 0.5377 0.9815
Rh6 Rh 0.7500 0.4623 0.0185
# Magnetic moment = 0.0 Bohr magnetons per cell
# E_form = 0.00 eV/atom

***

# Sm4PtRh2, optimized geometry, DFT GGA-PBE
data_Sm4PtRh2
_chemical_formula_sum 'Sm8 Pt2 Rh4'
_symmetry_space_group_name_H-M 'P 1'
_symmetry_Int_Tables_number 1
_cell_length_a 7.6346
_cell_length_b 7.6348
_cell_length_c 7.6341
_cell_angle_alpha 109.22
_cell_angle_beta 109.23
_cell_angle_gamma 109.96
loop_
_symmetry_equiv_pos_as_xyz
'x,y,z'
loop_
_atom_site_label
_atom_site_type_symbol
_atom_site_fract_x
_atom_site_fract_y
_atom_site_fract_z
Sm1 Sm 0.2576 0.1306 0.7520
Pt1 Pt 0.2500 0.7502 0.5001
Sm2 Sm 0.7557 0.1286 0.7483
Sm3 Sm 0.9923 0.2440 0.3727
Rh1 Rh 0.4978 0.3750 0.6228
Sm4 Sm 0.8714 0.6194 0.6270
Sm5 Sm 0.3805 0.0077 0.2518
Sm6 Sm 0.4940 0.7422 0.8727
Rh2 Rh 0.6251 0.2479 0.1229
Pt2 Pt 0.9999 0.9998 0.9998
Rh3 Rh 0.7522 0.8749 0.3773
Rh4 Rh 0.1250 0.5022 0.8772
Sm7 Sm 0.8696 0.6215 0.1271
Sm8 Sm 0.3787 0.5060 0.2484
# Magnetic moment = 0.0 Bohr magnetons per cell
# E_form = -0.81 eV/atom

***

# Sm3PtRh, optimized geometry, DFT GGA-PBE
data_Sm3PtRh
_chemical_formula_sum 'Sm12 Pt4 Rh4'
_symmetry_space_group_name_H-M 'P 1'
_symmetry_Int_Tables_number 1
_cell_length_a 8.3631
_cell_length_b 7.3796
_cell_length_c 8.8058
_cell_angle_alpha 90.00
_cell_angle_beta 74.04
_cell_angle_gamma 90.00
loop_
_symmetry_equiv_pos_as_xyz
'x,y,z'
loop_
_atom_site_label
_atom_site_type_symbol
_atom_site_fract_x
_atom_site_fract_y
_atom_site_fract_z
Sm1 Sm 0.0046 0.1857 0.1460
Sm2 Sm 0.1097 0.6515 0.2120
Sm3 Sm 0.5046 0.3143 0.1460
Pt1 Pt 0.1843 0.4631 0.9063
Sm4 Sm 0.7185 0.4969 0.4496
Sm5 Sm 0.6097 0.8485 0.2120
Sm6 Sm 0.2815 0.5031 0.5504
Rh1 Rh 0.4806 0.8115 0.5567
Sm7 Sm 0.9954 0.8143 0.8540
Sm8 Sm 0.4954 0.6857 0.8540
Sm9 Sm 0.8903 0.3485 0.7880
Rh2 Rh 0.5194 0.1885 0.4433
Rh3 Rh 0.9806 0.6885 0.5567
Pt2 Pt 0.6843 0.0369 0.9063
Sm10 Sm 0.3903 0.1515 0.7880
Sm11 Sm 0.2185 0.0031 0.4496
Sm12 Sm 0.7815 0.9969 0.5504
Pt3 Pt 0.8157 0.5369 0.0937
Rh4 Rh 0.0194 0.3115 0.4433
Pt4 Pt 0.3157 0.9631 0.0937
# Energy above the most stable polymorph in this dataset = 0.0 kJ/mol of atoms
# Magnetic moment = 0.0 Bohr magnetons per cell
# E_form = -0.83 eV/atom

***

# Sm2PtRh2, optimized geometry, DFT GGA-PBE
data_Sm2PtRh2
_chemical_formula_sum 'Sm4 Pt2 Rh4'
_symmetry_space_group_name_H-M 'P 1'
_symmetry_Int_Tables_number 1
_cell_length_a 5.5791
_cell_length_b 5.5791
_cell_length_c 8.0718
_cell_angle_alpha 75.41
_cell_angle_beta 75.41
_cell_angle_gamma 59.12
loop_
_symmetry_equiv_pos_as_xyz
'x,y,z'
loop_
_atom_site_label
_atom_site_type_symbol
_atom_site_fract_x
_atom_site_fract_y
_atom_site_fract_z
Pt1 Pt 0.7979 0.2021 0.7500
Pt2 Pt 0.2021 0.7979 0.2500
Sm1 Sm 0.7926 0.5064 0.3486
Rh1 Rh 0.9991 0.2584 0.0004
Sm2 Sm 0.4936 0.2074 0.1514
Rh2 Rh 0.7416 0.0009 0.4996
Sm3 Sm 0.2074 0.4936 0.6514
Rh3 Rh 0.2584 0.9991 0.5004
Rh4 Rh 0.0009 0.7416 0.9996
Sm4 Sm 0.5064 0.7926 0.8486
# Energy above the most stable polymorph in this dataset = 3.0 kJ/mol of atoms
# Magnetic moment = 0.0 Bohr magnetons per cell
# E_form = -0.80 eV/atom

***

# Sm7Pt2Rh2, optimized geometry, DFT GGA-PBE
data_Sm7Pt2Rh2
_chemical_formula_sum 'Sm7 Pt2 Rh2'
_symmetry_space_group_name_H-M 'P 1'
_symmetry_Int_Tables_number 1
_cell_length_a 3.9622
_cell_length_b 9.2647
_cell_length_c 9.2647
_cell_angle_alpha 61.88
_cell_angle_beta 77.65
_cell_angle_gamma 77.65
loop_
_symmetry_equiv_pos_as_xyz
'x,y,z'
loop_
_atom_site_label
_atom_site_type_symbol
_atom_site_fract_x
_atom_site_fract_y
_atom_site_fract_z
Sm1 Sm 0.1268 0.1343 0.6121
Sm2 Sm 0.3857 0.7230 0.5055
Sm3 Sm 0.6143 0.4945 0.2770
Sm4 Sm 0.1919 0.7052 0.9110
Rh1 Rh 0.2601 0.3381 0.1416
Sm5 Sm 0.8732 0.3879 0.8657
Pt1 Pt 0.0000 0.7734 0.2266
Sm6 Sm 0.8081 0.0890 0.2948
Rh2 Rh 0.7399 0.8584 0.6619
Pt2 Pt 0.5000 0.3557 0.6443
Sm7 Sm 0.5000 0.9943 0.0057
# Energy above the most stable polymorph in this dataset = 0.0 kJ/mol of atoms
# Magnetic moment = 0.0 Bohr magnetons per cell
# E_form = -0.74 eV/atom

***

# Sm3Pt8Rh, optimized geometry, DFT GGA-PBE
data_Sm3Pt8Rh
_chemical_formula_sum 'Sm3 Pt8 Rh1'
_symmetry_space_group_name_H-M 'P 1'
_symmetry_Int_Tables_number 1
_cell_length_a 5.4330
_cell_length_b 5.4330
_cell_length_c 9.3879
_cell_angle_alpha 73.18
_cell_angle_beta 73.18
_cell_angle_gamma 60.00
loop_
_symmetry_equiv_pos_as_xyz
'x,y,z'
loop_
_atom_site_label
_atom_site_type_symbol
_atom_site_fract_x
_atom_site_fract_y
_atom_site_fract_z
Sm1 Sm 0.0131 0.0131 0.9606
Pt1 Pt 0.5625 0.5625 0.8171
Pt2 Pt 0.0611 0.0611 0.3166
Pt3 Pt 0.3114 0.3114 0.0659
Pt4 Pt 0.5625 0.0579 0.8171
Rh1 Rh 0.1362 0.1362 0.5915
Pt5 Pt 0.8107 0.8107 0.5679
Sm2 Sm 0.6216 0.6216 0.1351
Pt6 Pt 0.5612 0.0611 0.3166
Pt7 Pt 0.0611 0.5612 0.3166
Pt8 Pt 0.0579 0.5625 0.8171
Sm3 Sm 0.4907 0.4907 0.5278
# Magnetic moment = 0.2 Bohr magnetons per cell
# E_form = -0.85 eV/atom

***

Q: What is the formula in the first record?
A: Sm4PtRh

***

What did the third record say?
# SmPtRh3, optimized geometry, DFT GGA-PBE
data_SmPtRh3
_chemical_formula_sum 'Sm2 Pt2 Rh6'
_symmetry_space_group_name_H-M 'P 1'
_symmetry_Int_Tables_number 1
_cell_length_a 4.6822
_cell_length_b 9.0905
_cell_length_c 9.0905
_cell_angle_alpha 148.43
_cell_angle_beta 90.00
_cell_angle_gamma 90.00
loop_
_symmetry_equiv_pos_as_xyz
'x,y,z'
loop_
_atom_site_label
_atom_site_type_symbol
_atom_site_fract_x
_atom_site_fract_y
_atom_site_fract_z
Rh1 Rh 0.7500 0.9815 0.5377
Sm1 Sm 0.7500 0.5841 0.4159
Rh2 Rh 0.2500 0.0185 0.4623
Pt1 Pt 0.2500 0.1404 0.8596
Rh3 Rh 0.0000 0.0000 0.0000
Sm2 Sm 0.2500 0.4159 0.5841
Rh4 Rh 0.5000 0.0000 0.0000
Pt2 Pt 0.7500 0.8596 0.1404
Rh5 Rh 0.2500 0.5377 0.9815
Rh6 Rh 0.7500 0.4623 0.0185
# Magnetic moment = 0.0 Bohr magnetons per cell
# E_form = 0.00 eV/atom

***

Q: Which of these has the highest magnetic moment?
A: Sm3Pt8Rh

***

Q: Among the records above, which one has the lowest E_form?
A: Sm3Pt8Rh